Record 1
This record from the Alexandria database describes a crystal of NaHg3Pt relaxed with PBEsol. The functional is SCAN.

Lattice parameters (Å, degrees): 5.212 5.212 5.212 90.00 90.00 90.00
Element x y z (fractional)
Pt 0.000 0.000 0.000
Hg 0.500 0.000 0.000
Hg 0.000 0.500 0.000
Hg 0.000 0.000 0.500
Na 0.500 0.500 0.500

Computed properties:
Calculated total energy ... -55.958 eV per atom
Spin magnetization ... 0.00 μB/atom
SG ... Pm-3m (221)
Mass density ... 9615 kg/m3

***

Record 2
This record from the Alexandria database describes a crystal of YRe3Rh relaxed with PBEsol. The functional is SCAN.

Lattice parameters (Å, degrees): 4.609 4.609 4.609 90.00 90.00 90.00
Element x y z (fractional)
Re 0.000 0.500 0.000
Re 0.500 0.000 0.000
Re 0.000 0.000 0.500
Y 0.000 0.000 0.000
Rh 0.500 0.500 0.500

Computed properties:
Calculated total energy ... -51.517 eV per atom
Spin magnetization ... 0.00 μB/atom
SG ... Pm-3m (221)
Mass density ... 12726 kg/m3

***

Record 3
This record from the Alexandria database describes a crystal of TaZn3B relaxed with PBEsol. The functional is SCAN.

Lattice parameters (Å, degrees): 4.083 4.083 4.083 90.00 90.00 90.00
Element x y z (fractional)
Ta 0.500 0.500 0.500
Zn 0.000 0.500 0.000
Zn 0.500 0.000 0.000
Zn 0.000 0.000 0.500
B 0.000 0.000 0.000

Computed properties:
Calculated total energy ... -22.158 eV per atom
Spin magnetization ... 0.00 μB/atom
SG ... Pm-3m (221)
Mass density ... 9465 kg/m3

***

Record 4
This record from the Alexandria database describes a crystal of Be2AlFe relaxed with PBEsol. The functional is SCAN.

Lattice parameters (Å, degrees): 2.916 3.619 4.362 114.51 109.53 90.00
Element x y z (fractional)
Be 0.014 0.014 0.029
Be 0.748 0.248 0.496
Fe 0.488 0.488 0.975
Al 0.250 0.750 0.500

Computed properties:
Calculated total energy ... -8.810 eV per atom
Spin magnetization ... 0.23 μB/atom
SG ... Imm2 (44)
Mass density ... 4298 kg/m3

***

Record 5
This record from the Alexandria database describes a crystal of Zr3S relaxed with PBEsol. The functional is SCAN.

Lattice parameters (Å, degrees): 4.181 4.181 4.181 90.00 90.00 90.00
Element x y z (fractional)
Zr 0.500 0.500 0.000
Zr 0.000 0.500 0.500
Zr 0.500 0.000 0.500
S 0.000 0.000 0.000

Computed properties:
Spin magnetization ... 0.00 μB/atom
E_form (uncorrected) ... -0.278 eV per atom
SG ... Pm-3m (221)
Mass density ... 6948 kg/m3

***

Record 6
This record from the Alexandria database describes a crystal of CuTeOs3 relaxed with PBEsol. The functional is SCAN.

Lattice parameters (Å, degrees): 4.446 4.446 4.446 90.00 90.00 90.00
Element x y z (fractional)
Cu 0.000 0.000 0.000
Os 0.500 0.000 0.000
Os 0.000 0.500 0.000
Os 0.000 0.000 0.500
Te 0.500 0.500 0.500

Computed properties:
Spin magnetization ... 0.00 μB/atom
E_form (uncorrected) ... 2.130 eV per atom
SG ... Pm-3m (221)
Mass density ... 14396 kg/m3

***

no.,DOS(E_F) (states/eV/f.u.)
1,1.6
2,6.1
3,1.8
4,0.8
5,4.0
6,3.4